Entry from Alexandria: crystalline RbTa2TlSn at its relaxed geometry (GGA-PBE).

```
RbTa2TlSn
1.0
5.331 0.000 0.000
0.000 5.331 0.000
0.000 0.000 5.910
Rb Ta Tl Sn
1 2 1 1
direct
0.000 0.000 0.000 Rb
0.000 0.500 0.500 Ta
0.500 0.000 0.500 Ta
0.500 0.500 0.500 Tl
0.500 0.500 0.000 Sn
```

Properties
Formation energy from the elements   44.0 kcal/mol of atoms
Total energy   -4.299 eV/atom

Entry from Alexandria: crystalline KRbBa at its relaxed geometry (GGA-PBE).

```
KRbBa
1.0
23.930 0.000 0.000
0.000 2.319 4.003
0.000 -2.319 4.003
K Rb Ba
2 2 2
direct
0.000 0.000 0.000 K
0.500 0.317 0.317 K
0.328 0.990 0.990 Rb
0.672 0.990 0.990 Rb
0.160 0.334 0.334 Ba
0.840 0.334 0.334 Ba
```

Properties
Formation energy from the elements   1.8 kcal/mol of atoms
Total energy   -1.253 eV/atom

Entry from Alexandria: crystalline CeSmTh4 at its relaxed geometry (GGA-PBE).

```
CeSmTh4
1.0
3.558 0.000 0.000
0.000 3.558 0.000
0.000 0.000 15.004
Ce Sm Th
1 1 4
direct
0.000 0.000 0.000 Ce
0.500 0.500 0.500 Sm
0.000 0.000 0.324 Th
0.000 0.000 0.676 Th
0.500 0.500 0.160 Th
0.500 0.500 0.840 Th
```

Properties
Formation energy from the elements   0.7 kcal/mol of atoms
Total energy   -6.690 eV/atom